Record 1
Density functional theory data (PBE) for a relaxed Tb2Nb3Ge4 crystal.

```
data_Tb2Nb3Ge4
_cell_length_a 7.0262
_cell_length_b 13.5972
_cell_length_c 7.2032
_cell_angle_alpha 90.00
_cell_angle_beta 90.00
_cell_angle_gamma 90.00
_symmetry_space_group_name_H-M 'P 1'
_symmetry_Int_Tables_number 1
loop_
_symmetry_equiv_pos_as_xyz
'x,y,z'
loop_
_atom_site_label
_atom_site_type_symbol
_atom_site_fract_x
_atom_site_fract_y
_atom_site_fract_z
_atom_site_occupancy
Ge1 Ge 0.8271 0.4581 0.4610 1
Ge2 Ge 0.6729 0.5419 0.9610 1
Ge3 Ge 0.8271 0.0419 0.4610 1
Ge4 Ge 0.3271 0.0419 0.0390 1
Ge5 Ge 0.8047 0.7500 0.3636 1
Ge6 Ge 0.3047 0.7500 0.1364 1
Ge7 Ge 0.6953 0.2500 0.8636 1
Ge8 Ge 0.4606 0.2500 0.3779 1
Ge9 Ge 0.1729 0.9581 0.5390 1
Ge10 Ge 0.1953 0.2500 0.6364 1
Ge11 Ge 0.9606 0.2500 0.1221 1
Ge12 Ge 0.6729 0.9581 0.9610 1
Ge13 Ge 0.5394 0.7500 0.6221 1
Ge14 Ge 0.1729 0.5419 0.5390 1
Ge15 Ge 0.3271 0.4581 0.0390 1
Ge16 Ge 0.0394 0.7500 0.8779 1
Tb1 Tb 0.9977 0.0950 0.8269 1
Tb2 Tb 0.0023 0.9050 0.1731 1
Tb3 Tb 0.5023 0.5950 0.3269 1
Tb4 Tb 0.4977 0.4050 0.6731 1
Tb5 Tb 0.4977 0.0950 0.6731 1
Tb6 Tb 0.0023 0.5950 0.1731 1
Tb7 Tb 0.9977 0.4050 0.8269 1
Tb8 Tb 0.5023 0.9050 0.3269 1
Nb1 Nb 0.6602 0.1265 0.1715 1
Nb2 Nb 0.1648 0.7500 0.5116 1
Nb3 Nb 0.6648 0.7500 0.9884 1
Nb4 Nb 0.6602 0.3735 0.1715 1
Nb5 Nb 0.3398 0.8735 0.8285 1
Nb6 Nb 0.1602 0.1265 0.3285 1
Nb7 Nb 0.8398 0.6265 0.6715 1
Nb8 Nb 0.1602 0.3735 0.3285 1
Nb9 Nb 0.8398 0.8735 0.6715 1
Nb10 Nb 0.3352 0.2500 0.0116 1
Nb11 Nb 0.8352 0.2500 0.4884 1
Nb12 Nb 0.3398 0.6265 0.8285 1
```

Results
Its energy is -258.88 eV per cell. The calculation puts the total magnetization at 0.0 μB per formula unit. The crystal system is orthorhombic. Its space group is Pnma, No. 62.

Record 2
Density functional theory data (PBE) for a relaxed Li5Au3 crystal.

```
data_Li5Au3
_cell_length_a 5.0295
_cell_length_b 5.0295
_cell_length_c 5.0295
_cell_angle_alpha 92.32
_cell_angle_beta 92.32
_cell_angle_gamma 92.32
_symmetry_space_group_name_H-M 'P 1'
_symmetry_Int_Tables_number 1
loop_
_symmetry_equiv_pos_as_xyz
'x,y,z'
loop_
_atom_site_label
_atom_site_type_symbol
_atom_site_fract_x
_atom_site_fract_y
_atom_site_fract_z
_atom_site_occupancy
Au1 Au 0.8138 0.5000 0.1862 1
Au2 Au 0.1862 0.8138 0.5000 1
Au3 Au 0.5000 0.1862 0.8138 1
Li1 Li 0.7369 0.0000 0.2630 1
Li2 Li 0.3092 0.3092 0.3092 1
Li3 Li 0.2631 0.7369 0.0000 1
Li4 Li 0.0000 0.2630 0.7370 1
Li5 Li 0.6908 0.6908 0.6908 1
```

Results
The crystal system is trigonal. Its energy above the most stable polymorph in this dataset is 0 meV per atom. Its space group is R32, No. 155.

Record 3
Density functional theory data (PBE) for a relaxed Er2AlInFe4 crystal.

```
data_Er2AlInFe4
_cell_length_a 3.9680
_cell_length_b 4.9557
_cell_length_c 6.9726
_cell_angle_alpha 90.00
_cell_angle_beta 90.00
_cell_angle_gamma 90.00
_symmetry_space_group_name_H-M 'P 1'
_symmetry_Int_Tables_number 1
loop_
_symmetry_equiv_pos_as_xyz
'x,y,z'
loop_
_atom_site_label
_atom_site_type_symbol
_atom_site_fract_x
_atom_site_fract_y
_atom_site_fract_z
_atom_site_occupancy
Fe1 Fe 0.0000 0.0000 0.0831 1
Fe2 Fe 0.5000 0.7503 0.9941 1
Fe3 Fe 0.0000 0.5000 0.9032 1
Fe4 Fe 0.5000 0.2497 0.9941 1
Er1 Er 0.0000 0.5000 0.3027 1
Er2 Er 0.0000 0.0000 0.7009 1
Al1 Al 0.5000 0.5000 0.6689 1
In1 In 0.5000 0.0000 0.3531 1
```

Results
Its energy is -50.93 eV per cell. The calculation puts the total magnetization at 7.3 μB per formula unit. The crystal system is orthorhombic. Its space group is Pmm2, No. 25.

Record 4
Density functional theory data (PBE) for a relaxed NdBeCu crystal.

```
data_NdBeCu
_cell_length_a 4.4532
_cell_length_b 4.4532
_cell_length_c 4.4532
_cell_angle_alpha 60.00
_cell_angle_beta 60.00
_cell_angle_gamma 60.00
_symmetry_space_group_name_H-M 'P 1'
_symmetry_Int_Tables_number 1
loop_
_symmetry_equiv_pos_as_xyz
'x,y,z'
loop_
_atom_site_label
_atom_site_type_symbol
_atom_site_fract_x
_atom_site_fract_y
_atom_site_fract_z
_atom_site_occupancy
Cu1 Cu 0.0000 0.0000 0.0000 1
Nd1 Nd 0.7500 0.7500 0.7500 1
Be1 Be 0.2500 0.2500 0.2500 1
```

Results
Its energy is -11.36 eV per cell. The calculation puts the total magnetization at 0.0 μB per formula unit. The crystal system is cubic. Its space group is F-43m, No. 216.

Record 5
Density functional theory data (PBE) for a relaxed Tb2ErGa3NiSn2 crystal.

```
data_Tb2ErGa3NiSn2
_cell_length_a 4.2629
_cell_length_b 7.2633
_cell_length_c 7.2633
_cell_angle_alpha 119.56
_cell_angle_beta 90.00
_cell_angle_gamma 90.00
_symmetry_space_group_name_H-M 'P 1'
_symmetry_Int_Tables_number 1
loop_
_symmetry_equiv_pos_as_xyz
'x,y,z'
loop_
_atom_site_label
_atom_site_type_symbol
_atom_site_fract_x
_atom_site_fract_y
_atom_site_fract_z
_atom_site_occupancy
Tb1 Tb 0.0000 0.6210 0.9993 1
Tb2 Tb 0.0000 0.9993 0.6210 1
Sn1 Sn 0.5000 0.3346 0.6641 1
Sn2 Sn 0.5000 0.6641 0.3346 1
Ga1 Ga 0.5000 0.9999 0.2209 1
Ga2 Ga 0.5000 0.2209 0.9999 1
Ga3 Ga 0.5000 0.7816 0.7816 1
Er1 Er 0.0000 0.3748 0.3748 1
Ni1 Ni 0.0000 0.0038 0.0038 1
```

Results
Its energy is -41.98 eV per cell. The calculation puts the total magnetization at 0.0 μB per formula unit. The crystal system is orthorhombic. Its space group is Amm2, No. 38.

Record 6
Density functional theory data (PBE) for a relaxed YAgGeSe3 crystal.

```
data_YAgGeSe3
_cell_length_a 6.9309
_cell_length_b 6.9309
_cell_length_c 10.8107
_cell_angle_alpha 90.00
_cell_angle_beta 90.00
_cell_angle_gamma 146.53
_symmetry_space_group_name_H-M 'P 1'
_symmetry_Int_Tables_number 1
loop_
_symmetry_equiv_pos_as_xyz
'x,y,z'
loop_
_atom_site_label
_atom_site_type_symbol
_atom_site_fract_x
_atom_site_fract_y
_atom_site_fract_z
_atom_site_occupancy
Ag1 Ag 0.5242 0.4758 0.2500 1
Ag2 Ag 0.4758 0.5242 0.7500 1
Y1 Y 0.0000 0.0000 0.5000 1
Y2 Y 0.0000 0.0000 0.0000 1
Se1 Se 0.8904 0.1096 0.2500 1
Se2 Se 0.6485 0.3515 0.0636 1
Se3 Se 0.3515 0.6485 0.5636 1
Se4 Se 0.1096 0.8904 0.7500 1
Se5 Se 0.6485 0.3515 0.4364 1
Se6 Se 0.3515 0.6485 0.9364 1
Ge1 Ge 0.2307 0.7693 0.2500 1
Ge2 Ge 0.7693 0.2307 0.7500 1
```

Results
Its energy is -57.86 eV per cell. The calculation puts the total magnetization at 0.0 μB per formula unit. The crystal system is orthorhombic. Its space group is Cmcm, No. 63.

Record 7
Density functional theory data (PBE) for a relaxed CoAgBi2 crystal.

```
data_CoAgBi2
_cell_length_a 5.0569
_cell_length_b 5.0569
_cell_length_c 5.0569
_cell_angle_alpha 60.00
_cell_angle_beta 60.00
_cell_angle_gamma 60.00
_symmetry_space_group_name_H-M 'P 1'
_symmetry_Int_Tables_number 1
loop_
_symmetry_equiv_pos_as_xyz
'x,y,z'
loop_
_atom_site_label
_atom_site_type_symbol
_atom_site_fract_x
_atom_site_fract_y
_atom_site_fract_z
_atom_site_occupancy
Co1 Co 0.0000 0.0000 0.0000 1
Bi1 Bi 0.5000 0.5000 0.5000 1
Bi2 Bi 0.2500 0.2500 0.2500 1
Ag1 Ag 0.7500 0.7500 0.7500 1
```

Results
The calculation puts the total magnetization at 1.6 μB per formula unit. The crystal system is cubic. Its energy above the most stable polymorph in this dataset is 0 meV per atom. Its space group is F-43m, No. 216.

Record 8
Density functional theory data (PBE) for a relaxed KZrIn crystal.

```
data_KZrIn
_cell_length_a 3.0146
_cell_length_b 9.5226
_cell_length_c 9.5226
_cell_angle_alpha 119.98
_cell_angle_beta 90.00
_cell_angle_gamma 90.00
_symmetry_space_group_name_H-M 'P 1'
_symmetry_Int_Tables_number 1
loop_
_symmetry_equiv_pos_as_xyz
'x,y,z'
loop_
_atom_site_label
_atom_site_type_symbol
_atom_site_fract_x
_atom_site_fract_y
_atom_site_fract_z
_atom_site_occupancy
K1 K 0.5000 0.3333 0.6668 1
K2 K 0.5000 0.9999 0.9999 1
K3 K 0.5000 0.6668 0.3333 1
In1 In 0.0000 0.3332 0.3332 1
In2 In 0.0000 0.0000 0.6667 1
In3 In 0.0000 0.6667 0.0000 1
Zr1 Zr 0.5000 0.3334 0.0002 1
Zr2 Zr 0.5000 0.0002 0.3334 1
Zr3 Zr 0.5000 0.6666 0.6666 1
```

Results
The calculation puts the total magnetization at 0.0 μB per formula unit. The crystal system is hexagonal. Its energy above the most stable polymorph in this dataset is 0 meV per atom. Its space group is P-6m2, No. 187.

Record 9
Density functional theory data (PBE) for a relaxed NdTlNi crystal.

```
data_NdTlNi
_cell_length_a 4.8209
_cell_length_b 4.8209
_cell_length_c 4.8209
_cell_angle_alpha 60.00
_cell_angle_beta 60.00
_cell_angle_gamma 60.00
_symmetry_space_group_name_H-M 'P 1'
_symmetry_Int_Tables_number 1
loop_
_symmetry_equiv_pos_as_xyz
'x,y,z'
loop_
_atom_site_label
_atom_site_type_symbol
_atom_site_fract_x
_atom_site_fract_y
_atom_site_fract_z
_atom_site_occupancy
Nd1 Nd 0.2500 0.2500 0.2500 1
Ni1 Ni 0.7500 0.7500 0.7500 1
Tl1 Tl 0.0000 0.0000 0.0000 1
```

Results
Its energy is -11.88 eV per cell. The calculation puts the total magnetization at 0.2 μB per formula unit. The crystal system is cubic. Its space group is F-43m, No. 216.

Record 10
Density functional theory data (PBE) for a relaxed ScInNiPt crystal.

```
data_ScInNiPt
_cell_length_a 4.5634
_cell_length_b 4.5634
_cell_length_c 4.5634
_cell_angle_alpha 60.00
_cell_angle_beta 60.00
_cell_angle_gamma 60.00
_symmetry_space_group_name_H-M 'P 1'
_symmetry_Int_Tables_number 1
loop_
_symmetry_equiv_pos_as_xyz
'x,y,z'
loop_
_atom_site_label
_atom_site_type_symbol
_atom_site_fract_x
_atom_site_fract_y
_atom_site_fract_z
_atom_site_occupancy
Ni1 Ni 0.7500 0.7500 0.7500 1
Sc1 Sc 0.5000 0.5000 0.5000 1
In1 In 0.0000 0.0000 0.0000 1
Pt1 Pt 0.2500 0.2500 0.2500 1
```

Results
The calculation puts the total magnetization at 0.0 μB per formula unit. The crystal system is cubic. Its energy above the most stable polymorph in this dataset is 0 meV per atom. Its space group is F-43m, No. 216.

Record 11
Density functional theory data (PBE) for a relaxed RbCdBr3 crystal.

```
data_RbCdBr3
_cell_length_a 9.5621
_cell_length_b 4.2646
_cell_length_c 15.8678
_cell_angle_alpha 90.00
_cell_angle_beta 90.00
_cell_angle_gamma 90.00
_symmetry_space_group_name_H-M 'P 1'
_symmetry_Int_Tables_number 1
loop_
_symmetry_equiv_pos_as_xyz
'x,y,z'
loop_
_atom_site_label
_atom_site_type_symbol
_atom_site_fract_x
_atom_site_fract_y
_atom_site_fract_z
_atom_site_occupancy
Rb1 Rb 0.5695 0.7500 0.1740 1
Rb2 Rb 0.9305 0.2500 0.6740 1
Rb3 Rb 0.0695 0.7500 0.3260 1
Rb4 Rb 0.4305 0.2500 0.8260 1
Br1 Br 0.3316 0.7500 0.9947 1
Br2 Br 0.7168 0.7500 0.7904 1
Br3 Br 0.2832 0.2500 0.2096 1
Br4 Br 0.5279 0.2500 0.6018 1
Br5 Br 0.7832 0.2500 0.2904 1
Br6 Br 0.2168 0.7500 0.7096 1
Br7 Br 0.4721 0.7500 0.3982 1
Br8 Br 0.6684 0.2500 0.0053 1
Br9 Br 0.9721 0.7500 0.1018 1
Br10 Br 0.8316 0.7500 0.5053 1
Br11 Br 0.0279 0.2500 0.8982 1
Br12 Br 0.1684 0.2500 0.4947 1
Cd1 Cd 0.3354 0.7500 0.5562 1
Cd2 Cd 0.8354 0.7500 0.9438 1
Cd3 Cd 0.6646 0.2500 0.4438 1
Cd4 Cd 0.1646 0.2500 0.0562 1
```

Results
Its energy is -52.13 eV per cell. The crystal system is orthorhombic. Its space group is Pnma, No. 62.

Record 12
Density functional theory data (PBE) for a relaxed HoCu2N3 crystal.

```
data_HoCu2N3
_cell_length_a 3.2446
_cell_length_b 3.2446
_cell_length_c 6.9574
_cell_angle_alpha 90.00
_cell_angle_beta 90.00
_cell_angle_gamma 120.00
_symmetry_space_group_name_H-M 'P 1'
_symmetry_Int_Tables_number 1
loop_
_symmetry_equiv_pos_as_xyz
'x,y,z'
loop_
_atom_site_label
_atom_site_type_symbol
_atom_site_fract_x
_atom_site_fract_y
_atom_site_fract_z
_atom_site_occupancy
N1 N 0.6667 0.3333 0.6951 1
N2 N 0.3333 0.6667 0.3049 1
N3 N 0.0000 0.0000 0.0000 1
Ho1 Ho 0.0000 0.0000 0.5000 1
Cu1 Cu 0.6667 0.3333 0.1595 1
Cu2 Cu 0.3333 0.6667 0.8405 1
```

Results
Its energy is -35.58 eV per cell. The calculation puts the total magnetization at 0.0 μB per formula unit. The crystal system is trigonal. Its space group is P-3m1, No. 164.

Repeat the eighth record exactly.
Density functional theory data (PBE) for a relaxed KZrIn crystal.

```
data_KZrIn
_cell_length_a 3.0146
_cell_length_b 9.5226
_cell_length_c 9.5226
_cell_angle_alpha 119.98
_cell_angle_beta 90.00
_cell_angle_gamma 90.00
_symmetry_space_group_name_H-M 'P 1'
_symmetry_Int_Tables_number 1
loop_
_symmetry_equiv_pos_as_xyz
'x,y,z'
loop_
_atom_site_label
_atom_site_type_symbol
_atom_site_fract_x
_atom_site_fract_y
_atom_site_fract_z
_atom_site_occupancy
K1 K 0.5000 0.3333 0.6668 1
K2 K 0.5000 0.9999 0.9999 1
K3 K 0.5000 0.6668 0.3333 1
In1 In 0.0000 0.3332 0.3332 1
In2 In 0.0000 0.0000 0.6667 1
In3 In 0.0000 0.6667 0.0000 1
Zr1 Zr 0.5000 0.3334 0.0002 1
Zr2 Zr 0.5000 0.0002 0.3334 1
Zr3 Zr 0.5000 0.6666 0.6666 1
```

Results
The calculation puts the total magnetization at 0.0 μB per formula unit. The crystal system is hexagonal. Its energy above the most stable polymorph in this dataset is 0 meV per atom. Its space group is P-6m2, No. 187.

Please write out number 7 again, unchanged.
Density functional theory data (PBE) for a relaxed CoAgBi2 crystal.

```
data_CoAgBi2
_cell_length_a 5.0569
_cell_length_b 5.0569
_cell_length_c 5.0569
_cell_angle_alpha 60.00
_cell_angle_beta 60.00
_cell_angle_gamma 60.00
_symmetry_space_group_name_H-M 'P 1'
_symmetry_Int_Tables_number 1
loop_
_symmetry_equiv_pos_as_xyz
'x,y,z'
loop_
_atom_site_label
_atom_site_type_symbol
_atom_site_fract_x
_atom_site_fract_y
_atom_site_fract_z
_atom_site_occupancy
Co1 Co 0.0000 0.0000 0.0000 1
Bi1 Bi 0.5000 0.5000 0.5000 1
Bi2 Bi 0.2500 0.2500 0.2500 1
Ag1 Ag 0.7500 0.7500 0.7500 1
```

Results
The calculation puts the total magnetization at 1.6 μB per formula unit. The crystal system is cubic. Its energy above the most stable polymorph in this dataset is 0 meV per atom. Its space group is F-43m, No. 216.

Question: Number 9 is which compound?
Answer: NdTlNi